Below is crystalline Ac6Te3As2Ir at its relaxed geometry, with properties calculated at the PBE level.

Cell and atoms, written as POSCAR:
```
Ac6Te3As2Ir
1.0
-4.134 6.776 -0.248
-1.309 -5.214 5.845
7.236 2.941 2.433
Ac Te As Ir
6 3 2 1
Direct
0.929 0.610 0.784
0.754 0.754 0.221
0.071 0.390 0.216
0.610 0.929 0.784
0.246 0.246 0.779
0.390 0.071 0.216
0.173 0.827 0.500
0.827 0.173 0.500
0.500 0.500 0.500
0.335 0.665 0.000
0.665 0.335 0.000
0.000 0.000 0.000
```

Values from the calculation:
Space group: C2/m, No. 12
Spin magnetization in μB/atom: 0.11
Energy relative to the elements, uncorrected in eV per formula unit: -16.59